Here is a relaxed structure of LaMgP2Pd5 from Alexandria. Energies are from PBE.

Lattice parameters (Å, degrees): 4.1787 4.1787 8.6242 90.00 90.00 90.00
Fractional positions:
1 La 0.0000 0.0000 0.0000
2 Mg 0.0000 0.0000 0.5000
3 P 0.5000 0.5000 0.1338
4 P 0.5000 0.5000 0.8662
5 Pd 0.0000 0.5000 0.2776
6 Pd 0.5000 0.0000 0.2776
7 Pd 0.0000 0.5000 0.7224
8 Pd 0.5000 0.0000 0.7224
9 Pd 0.5000 0.5000 0.5000

For the calculated total energy, the calculation gives -51.10 eV per cell. As for the density of states at the Fermi level: 0.22 states/eV/atom. Its space-group type is P4/mmm. For the calculated density, the calculation gives 8.4 Mg/m³.


Here is a relaxed structure of La2MgP3Pd4 from Alexandria. Energies are from PBE.

Lattice parameters (Å, degrees): 4.2040 4.2040 10.5509 90.00 90.00 90.00
Fractional positions:
1 La 0.5000 0.0000 0.2317
2 La 0.0000 0.5000 0.7683
3 Mg 0.5000 0.5000 0.5000
4 P 0.0000 0.0000 0.5000
5 P 0.5000 0.0000 0.8664
6 P 0.0000 0.5000 0.1336
7 Pd 0.5000 0.5000 0.0000
8 Pd 0.0000 0.0000 0.0000
9 Pd 0.5000 0.0000 0.6396
10 Pd 0.0000 0.5000 0.3604

For the calculated total energy, the calculation gives -58.09 eV per cell. As for the density of states at the Fermi level: 0.48 states/eV/atom. Its space-group type is P-4m2. For the calculated density, the calculation gives 7.3 Mg/m³.


Here is a relaxed structure of LaMgP2Pd2 from Alexandria. Energies are from PBE.

Lattice parameters (Å, degrees): 4.1764 4.1764 7.3448 90.00 90.00 120.00
Fractional positions:
1 La 0.0000 0.0000 0.0000
2 Mg 0.0000 0.0000 0.5000
3 P 0.6667 0.3333 0.2591
4 P 0.3333 0.6667 0.7409
5 Pd 0.6667 0.3333 0.6912
6 Pd 0.3333 0.6667 0.3088

For the calculated total energy, the calculation gives -33.57 eV per cell. As for the density of states at the Fermi level: 0.45 states/eV/atom. Its space-group type is P-3m1. For the calculated density, the calculation gives 6.6 Mg/m³.


Here is a relaxed structure of LaMgP2Pt2 from Alexandria. Energies are from PBE.

Lattice parameters (Å, degrees): 4.1215 4.1215 7.7339 90.00 90.00 120.00
Fractional positions:
1 La 0.0000 0.0000 0.0000
2 Mg 0.0000 0.0000 0.5000
3 P 0.6667 0.3333 0.2548
4 P 0.3333 0.6667 0.7452
5 Pt 0.6667 0.3333 0.7105
6 Pt 0.3333 0.6667 0.2895

For the calculated total energy, the calculation gives -35.73 eV per cell. As for the density of states at the Fermi level: 0.20 states/eV/atom. Its space-group type is P-3m1. For the calculated density, the calculation gives 9.0 Mg/m³.